DyTm2Au after structural relaxation, computed with PBE-GGA.

The density of states at the Fermi level comes out at 1.141 states/eV/atom. The calculation puts the formation energy from the elements at -1.21 eV per formula unit. The value obtained for the offset from the most stable computed form is 3.633 kcal/mol of atoms.

The structure belongs to space group R3m (No. 160, hexagonal axes); the cell edges are 3.6950, 3.6950 and 29.0863 Å and the angles 90.00°, 90.00° and 120.00°. The inequivalent atoms are Dy at (0.0000, 0.0000, 0.0000), Tm at (0.0000, 0.0000, 0.2368), Tm at (0.0000, 0.0000, 0.4318) and Au at (0.0000, 0.0000, 0.8350).

AgS3F2 after structural relaxation, computed with PBE-GGA.

The density of states at the Fermi level comes out at 0.293 states/eV/atom. The uncorrected formation energy is -333.3 meV/atom.

The structure belongs to space group C2/c (No. 15); the cell edges are 6.844, 16.283 and 4.719 Å and the angles 90.00°, 94.61° and 90.00°. The inequivalent atoms are Ag at (0.000, 0.228, 0.250), S at (0.000, 0.418, 0.750), S at (0.185, 0.343, 0.996) and F at (0.180, 0.151, 0.637).

Na7Hg3Au after structural relaxation, computed with PBE-GGA.

The density of states at the Fermi level comes out at 0.323 states/eV/atom. The calculation puts the formation energy from the elements at -2.21 eV per formula unit.

The structure belongs to space group Cmcm (No. 63); the cell edges are 3.478, 25.476 and 13.777 Å and the angles 90.00°, 90.00° and 90.00°. The inequivalent atoms are Na at (0.000, 0.048, 0.132), Na at (0.000, 0.085, 0.602), Na at (0.000, 0.177, 0.250), Na at (0.000, 0.223, 0.602), Hg at (0.000, 0.348, 0.250), Hg at (0.000, 0.348, 0.557) and Au at (0.000, 0.471, 0.250).

Tb4Pr6Sm after structural relaxation, computed with PBE-GGA.

The density of states at the Fermi level comes out at 1.428 states/eV/atom. The calculation puts the formation energy from the elements at 3.25 eV per formula unit. The value obtained for the offset from the most stable computed form is 0.281 kcal/mol of atoms.

The structure belongs to space group I-42m (No. 121); the cell edges are 6.854, 6.854 and 16.698 Å and the angles 90.00°, 90.00° and 90.00°. The inequivalent atoms are Tb at (0.175, 0.175, 0.384), Pr at (0.000, 0.500, 0.000), Pr at (0.191, 0.191, 0.178) and Sm at (0.000, 0.000, 0.000).

TaCdSe2N after structural relaxation, computed with PBE-GGA.

The density of states at the Fermi level comes out at 1.527 states/eV/atom. The uncorrected formation energy is 1544.5 meV/atom. The value obtained for the offset from the most stable computed form is 38.925 kcal/mol of atoms.

The structure belongs to space group P4/mmm (No. 123); the cell edges are 5.141, 5.141 and 3.934 Å and the angles 90.00°, 90.00° and 90.00°. The inequivalent atoms are Ta at (0.000, 0.000, 0.000), Cd at (0.500, 0.500, 0.500), Se at (0.000, 0.500, 0.500) and N at (0.500, 0.500, 0.000).

K2TbTmS4 after structural relaxation, computed with PBE-GGA.

The density of states at the Fermi level comes out at 0.000 states/eV/atom. The uncorrected formation energy is -1887.1 meV/atom.

The structure belongs to space group P2/m (No. 10); the cell edges are 6.990, 4.035 and 7.723 Å and the angles 90.00°, 107.54° and 90.00°. The inequivalent atoms are K at (0.000, 0.000, 0.000), K at (0.500, 0.500, 0.000), Tb at (0.000, 0.500, 0.500), Tm at (0.500, 0.000, 0.500), S at (0.238, 0.000, 0.702) and S at (0.271, 0.500, 0.300).

Ac6PrY after structural relaxation, computed with PBE-GGA.

The density of states at the Fermi level comes out at 1.611 states/eV/atom. The calculation puts the formation energy from the elements at 0.19 eV per formula unit. The value obtained for the offset from the most stable computed form is 0.000 kcal/mol of atoms.

The structure belongs to space group P4/mmm (No. 123); the cell edges are 5.521, 5.521 and 11.050 Å and the angles 90.00°, 90.00° and 90.00°. The inequivalent atoms are Ac at (0.000, 0.000, 0.000), Ac at (0.000, 0.000, 0.500), Ac at (0.000, 0.500, 0.248), Pr at (0.500, 0.500, 0.500) and Y at (0.500, 0.500, 0.000).

PmP3Ir6 after structural relaxation, computed with PBE-GGA.

The density of states at the Fermi level comes out at 0.471 states/eV/atom. The calculation puts the formation energy from the elements at -5.10 eV per formula unit.

The structure belongs to space group P1 (No. 1); the cell edges are 5.505, 5.533 and 6.182 Å and the angles 75.67°, 88.90° and 60.39°. The inequivalent atoms are Pm at (0.000, 0.000, 0.000), P at (0.086, 0.837, 0.489), P at (0.355, 0.301, 0.087), P at (0.675, 0.650, 0.094), Ir at (0.066, 0.288, 0.391), Ir at (0.459, 0.075, 0.791), Ir at (0.473, 0.577, 0.791), Ir at (0.483, 0.451, 0.377), Ir at (0.645, 0.873, 0.386) and Ir at (0.967, 0.573, 0.806).